CuTc2Ru: optimized geometry, PBE-GGA.

Summary:
Density of states at the Fermi level: 4.36 states/eV per cell
Crystal system: trigonal
ΔE to the lowest computed polymorph: 0.00 eV per formula unit
SG: R3m

a = 8.937 Å, b = 8.937 Å, c = 8.937 Å
α = 17.47°, β = 17.47°, γ = 17.47°
Atoms (fractional coordinates):
Cu 0.500 0.500 0.500
Tc 0.251 0.251 0.251
Tc 0.000 0.000 0.000
Ru 0.750 0.750 0.750

***

CuTc2Ru: optimized geometry, PBE-GGA.

Summary:
Density of states at the Fermi level: 3.95 states/eV per cell
Crystal system: orthorhombic
ΔE to the lowest computed polymorph: 0.75 eV per formula unit
SG: Cmm2

a = 2.643 Å, b = 2.643 Å, c = 9.011 Å
α = 90.00°, β = 90.00°, γ = 115.29°
Each line ends with the local moment (μB).
Atoms (fractional coordinates):
Cu 0.000 0.000 0.501  0.01
Ru 0.500 0.500 0.750  0.28
Tc 0.500 0.500 0.250  -0.01
Tc 0.000 0.000 0.000  -0.01

***

CuTc2Ru: optimized geometry, PBE-GGA.

Summary:
Density of states at the Fermi level: 5.82 states/eV per cell
Crystal system: tetragonal
ΔE to the lowest computed polymorph: 0.28 eV per formula unit
SG: I4/mmm

a = 4.821 Å, b = 4.821 Å, c = 4.821 Å
α = 134.90°, β = 134.94°, γ = 65.65°
Atoms (fractional coordinates):
Ru 0.250 0.750 0.500
Tc 0.500 0.500 0.000
Cu 0.750 0.250 0.500
Tc 0.000 0.000 0.000

***

CuTcRu2: optimized geometry, PBE-GGA.

Summary:
Density of states at the Fermi level: 4.56 states/eV per cell
Crystal system: orthorhombic
ΔE to the lowest computed polymorph: 1.12 eV per formula unit
SG: Cmm2

a = 2.638 Å, b = 2.638 Å, c = 9.059 Å
α = 90.00°, β = 90.00°, γ = 116.35°
Each line ends with the local moment (μB).
Atoms (fractional coordinates):
Cu 0.500 0.500 0.751  0.01
Tc 0.000 0.000 0.500  -0.01
Ru 0.000 0.000 0.999  0.41
Ru 0.500 0.500 0.251  0.21

***

CuTc2Ru: optimized geometry, PBE-GGA.

Summary:
Density of states at the Fermi level: 5.55 states/eV per cell
Crystal system: tetragonal
ΔE to the lowest computed polymorph: 0.28 eV per formula unit
SG: I-4m2

a = 4.678 Å, b = 4.678 Å, c = 4.678 Å
α = 131.97°, β = 131.98°, γ = 70.27°
Atoms (fractional coordinates):
Cu 0.500 0.500 0.000
Tc 0.000 0.000 0.000
Tc 0.750 0.250 0.500
Ru 0.250 0.750 0.500

***

CuTcRu2: optimized geometry, PBE-GGA.

Summary:
Density of states at the Fermi level: 4.74 states/eV per cell
Crystal system: tetragonal
ΔE to the lowest computed polymorph: 0.37 eV per formula unit
SG: I4/mmm

a = 4.630 Å, b = 4.630 Å, c = 4.630 Å
α = 131.29°, β = 131.29°, γ = 71.36°
Atoms (fractional coordinates):
Tc 0.250 0.750 0.500
Cu 0.750 0.250 0.500
Ru 0.000 0.000 0.000
Ru 0.500 0.500 0.000

***

CuTcRu2: optimized geometry, PBE-GGA.

Summary:
Density of states at the Fermi level: 6.83 states/eV per cell
Crystal system: tetragonal
ΔE to the lowest computed polymorph: 0.71 eV per formula unit
SG: P4/mmm

a = 3.733 Å, b = 3.835 Å, c = 3.835 Å
α = 90.00°, β = 90.00°, γ = 90.00°
Each line ends with the local moment (μB).
Atoms (fractional coordinates):
Tc 0.500 0.500 0.000  0.04
Ru 0.000 0.000 0.000  0.14
Cu 0.500 0.000 0.500  0.03
Ru 0.000 0.500 0.500  0.14

***

CuTc2Ru: optimized geometry, PBE-GGA.

Summary:
Density of states at the Fermi level: 4.97 states/eV per cell
Crystal system: tetragonal
ΔE to the lowest computed polymorph: 0.40 eV per formula unit
SG: P4/mmm

a = 3.773 Å, b = 3.772 Å, c = 3.882 Å
α = 90.00°, β = 90.00°, γ = 90.00°
Atoms (fractional coordinates):
Tc 0.500 0.500 0.000
Tc 0.000 0.000 0.000
Cu 0.500 0.000 0.500
Ru 0.000 0.500 0.500

***

Cu2TcRu: optimized geometry, PBE-GGA.

Summary:
Density of states at the Fermi level: 4.85 states/eV per cell
Crystal system: tetragonal
ΔE to the lowest computed polymorph: 0.75 eV per formula unit
SG: I4/mmm

a = 4.813 Å, b = 4.813 Å, c = 4.813 Å
α = 135.92°, β = 135.92°, γ = 64.11°
Atoms (fractional coordinates):
Tc 0.250 0.750 0.500
Ru 0.750 0.250 0.500
Cu 0.500 0.500 0.000
Cu 0.000 0.000 0.000

***

CuTcRu: optimized geometry, PBE-GGA.

Summary:
Density of states at the Fermi level: 9.98 states/eV per cell
Crystal system: monoclinic
ΔE to the lowest computed polymorph: 0.08 eV per formula unit
SG: Cc

a = 6.801 Å, b = 4.613 Å, c = 8.052 Å
α = 90.00°, β = 140.04°, γ = 90.00°
Atoms (fractional coordinates):
Ru 0.535 0.584 0.531
Ru 0.035 0.416 0.031
Tc 0.545 0.081 0.375
Ru 0.535 0.084 0.031
Cu 0.540 0.580 0.204
Tc 0.545 0.581 0.875
Tc 0.045 0.919 0.875
Tc 0.045 0.419 0.375
Cu 0.040 0.920 0.204
Ru 0.035 0.916 0.531
Cu 0.040 0.420 0.704
Cu 0.540 0.080 0.704

***

CuTc2Ru: optimized geometry, PBE-GGA.

Summary:
Density of states at the Fermi level: 6.98 states/eV per cell
Crystal system: cubic
ΔE to the lowest computed polymorph: 1.20 eV per formula unit
SG: Fm-3m

a = 4.300 Å, b = 4.300 Å, c = 4.300 Å
α = 60.00°, β = 60.00°, γ = 60.00°
Atoms (fractional coordinates):
Ru 0.500 0.500 0.500
Cu 0.000 0.000 0.000
Tc 0.250 0.250 0.250
Tc 0.750 0.750 0.750

***

CuTcRu2: optimized geometry, PBE-GGA.

Summary:
Density of states at the Fermi level: 5.36 states/eV per cell
Crystal system: orthorhombic
ΔE to the lowest computed polymorph: 1.00 eV per formula unit
SG: Cmmm

a = 2.650 Å, b = 2.650 Å, c = 8.959 Å
α = 90.00°, β = 90.00°, γ = 116.20°
Atoms (fractional coordinates):
Ru 0.000 0.000 0.500
Tc 0.500 0.500 0.250
Ru 0.000 0.000 0.000
Cu 0.500 0.500 0.750

***

CuTcRu2: optimized geometry, PBE-GGA.

Summary:
Density of states at the Fermi level: 4.61 states/eV per cell
Crystal system: tetragonal
ΔE to the lowest computed polymorph: 0.32 eV per formula unit
SG: P4mm

a = 2.692 Å, b = 2.692 Å, c = 7.573 Å
α = 90.00°, β = 90.00°, γ = 90.00°
Atoms (fractional coordinates):
Cu 0.500 0.500 0.753
Tc 0.000 0.000 0.504
Ru 0.000 0.000 0.999
Ru 0.500 0.500 0.245

***

CuTcRu: optimized geometry, PBE-GGA.

Summary:
Density of states at the Fermi level: 2.85 states/eV per cell
Crystal system: orthorhombic
ΔE to the lowest computed polymorph: 0.00 eV per formula unit
SG: Imm2

a = 4.604 Å, b = 4.604 Å, c = 4.604 Å
α = 145.28°, β = 132.42°, γ = 60.23°
Atoms (fractional coordinates):
Cu 0.000 0.000 0.000
Tc 0.669 0.669 0.000
Ru 0.331 0.331 0.000

***

CuTcRu: optimized geometry, PBE-GGA.

Summary:
Density of states at the Fermi level: 4.26 states/eV per cell
Crystal system: monoclinic
ΔE to the lowest computed polymorph: 0.59 eV per formula unit
SG: C2/m

a = 2.745 Å, b = 4.934 Å, c = 6.936 Å
α = 108.53°, β = 90.00°, γ = 106.15°
Atoms (fractional coordinates):
Cu 0.629 0.257 0.460
Tc 0.892 0.784 0.219
Tc 0.108 0.216 0.781
Ru 0.851 0.702 0.864
Cu 0.371 0.743 0.540
Ru 0.149 0.298 0.136

***

CuTcRu2: optimized geometry, PBE-GGA.

Summary:
Density of states at the Fermi level: 4.58 states/eV per cell
Crystal system: tetragonal
ΔE to the lowest computed polymorph: 0.46 eV per formula unit
SG: I-4m2

a = 4.783 Å, b = 4.783 Å, c = 4.783 Å
α = 134.48°, β = 134.50°, γ = 66.32°
Atoms (fractional coordinates):
Cu 0.250 0.750 0.500
Ru 0.000 0.000 0.000
Ru 0.750 0.250 0.500
Tc 0.500 0.500 0.000

***

CuTcRu: optimized geometry, PBE-GGA.

Summary:
Density of states at the Fermi level: 3.05 states/eV per cell
Crystal system: tetragonal
ΔE to the lowest computed polymorph: 0.19 eV per formula unit
SG: I4mm

a = 5.644 Å, b = 5.644 Å, c = 5.644 Å
α = 151.37°, β = 151.37°, γ = 40.94°
Atoms (fractional coordinates):
Tc 0.671 0.671 0.000
Ru 0.329 0.329 0.000
Cu 0.999 0.999 0.000

***

CuTcRu: optimized geometry, PBE-GGA.

Summary:
Density of states at the Fermi level: 10.65 states/eV per cell
Crystal system: orthorhombic
ΔE to the lowest computed polymorph: 0.06 eV per formula unit
SG: Amm2

a = 4.401 Å, b = 7.906 Å, c = 4.664 Å
α = 90.00°, β = 90.00°, γ = 90.00°
Atoms (fractional coordinates):
Cu 0.500 0.000 0.287
Cu 0.000 0.000 0.614
Tc 0.500 0.662 0.288
Ru 0.000 0.840 0.114
Tc 0.500 0.838 0.788
Ru 0.000 0.160 0.114
Tc 0.500 0.338 0.288
Tc 0.500 0.162 0.788
Cu 0.000 0.500 0.114
Ru 0.000 0.340 0.614
Ru 0.000 0.660 0.614
Cu 0.500 0.500 0.787

***

CuTcRu4: optimized geometry, PBE-GGA.

Summary:
Density of states at the Fermi level: 8.77 states/eV per cell
Crystal system: cubic
Total DFT energy (no corrections): -48.02 eV for the cell shown
SG: F-43m

a = 5.021 Å, b = 5.021 Å, c = 5.021 Å
α = 60.00°, β = 60.00°, γ = 60.00°
Atoms (fractional coordinates):
Ru 0.375 0.375 0.876
Tc 0.750 0.750 0.750
Cu 0.000 0.000 0.000
Ru 0.375 0.375 0.375
Ru 0.876 0.375 0.375
Ru 0.375 0.876 0.375

***

CuTcRu2: optimized geometry, PBE-GGA.

Summary:
Density of states at the Fermi level: 4.82 states/eV per cell
Crystal system: orthorhombic
ΔE to the lowest computed polymorph: 0.23 eV per formula unit
SG: Pmm2

a = 3.858 Å, b = 2.711 Å, c = 5.900 Å
α = 62.59°, β = 90.00°, γ = 90.00°
Atoms (fractional coordinates):
Ru 0.500 0.246 0.255
Cu 0.500 0.746 0.753
Tc 0.000 0.492 0.506
Ru 0.000 0.015 0.985